The following is a PBE with a Hubbard U calculation of crystalline CsKCrO3 at its relaxed geometry, from Alexandria. Values from VASP.

Summary:
- final energy (eV/atom) = -5.702

```
&SYSTEM
  ibrav = 0, nat = 12, ntyp = 4
/
ATOMIC_SPECIES
Cs 132.91 Cs.upf
K 39.10 K.upf
Cr 52.00 Cr.upf
O 16.00 O.upf
CELL_PARAMETERS angstrom
3.1836 -6.1566 0.0000
3.1836 6.1566 0.0000
-0.9968 0.0000 5.5767
ATOMIC_POSITIONS angstrom
Cs 2.4360 3.1325 4.1825
Cs 2.9344 -3.1325 1.3942
K 2.9344 5.1062 1.3942
K 2.4360 -5.1062 4.1825
Cr 2.9344 0.5243 1.3942
Cr 2.4360 -0.5243 4.1825
O 1.4764 0.3603 2.8708
O 2.9344 2.3033 1.3942
O 1.9748 -0.3603 0.0825
O 3.3956 0.3603 5.4942
O 2.4360 -2.3033 4.1825
O 3.8940 -0.3603 2.7059
```